(1)
Here is a relaxed structure of Pm2SbAs from Alexandria. Energies are from GGA-PBE.

The energy above the most stable polymorph in this dataset is 47.4 meV per atom. For the total energy, the calculation gives -5.863 eV per atom. As for the formation energy without anion corrections: -1295 meV per atom. For the density of states at the Fermi level, the calculation gives 0.245 states/eV/atom.

It has space group P6_3/mmc (No. 194), with a = 4.3376 Å, b = 4.3376 Å, c = 14.6879 Å, α = 90.00°, β = 90.00° and γ = 120.00°. Symmetry generates all atoms from Pm at (0.3333, 0.6667, 0.1140), Sb at (0.3333, 0.6667, 0.7500) and As at (0.0000, 0.0000, 0.0000).


(2)
Here is a relaxed structure of Te5Rh4 from Alexandria. Energies are from GGA-PBE.

The energy above the most stable polymorph in this dataset is 300.5 meV per atom. For the total energy, the calculation gives -4.698 eV per atom. As for the formation energy without anion corrections: 315 meV per atom. For the density of states at the Fermi level, the calculation gives 0.986 states/eV/atom.

It has space group I4/mmm (No. 139), with a = 8.5707 Å, b = 8.5707 Å, c = 5.1771 Å, α = 90.00°, β = 90.00° and γ = 90.00°. Symmetry generates all atoms from Te at (0.0000, 0.0000, 0.0000), Te at (0.1880, 0.1880, 0.5000) and Rh at (0.0000, 0.3246, 0.0000).


(3)
Here is a relaxed structure of Na2Pr3Se3O2 from Alexandria. Energies are from GGA-PBE.

For the total energy, the calculation gives -5.723 eV per atom. As for the formation energy without anion corrections: -1988 meV per atom. For the density of states at the Fermi level, the calculation gives 0.237 states/eV/atom.

It has space group I4/mmm (No. 139), with a = 4.2780 Å, b = 4.2780 Å, c = 26.2758 Å, α = 90.00°, β = 90.00° and γ = 90.00°. Symmetry generates all atoms from Na at (0.0000, 0.5000, 0.2500), Pr at (0.0000, 0.0000, 0.0000), Pr at (0.0000, 0.0000, 0.3691), Se at (0.0000, 0.0000, 0.1158), Se at (0.0000, 0.0000, 0.5000) and O at (0.0000, 0.0000, 0.2891).


(4)
Here is a relaxed structure of CaTaNCl2 from Alexandria. Energies are from GGA-PBE.

For the total energy, the calculation gives -4.100 eV per atom. As for the formation energy without anion corrections: 1074 meV per atom. For the density of states at the Fermi level, the calculation gives 0.785 states/eV/atom.

It has space group P4/mmm (No. 123), with a = 4.8770 Å, b = 4.8770 Å, c = 4.4524 Å, α = 90.00°, β = 90.00° and γ = 90.00°. Symmetry generates all atoms from Ca at (0.0000, 0.0000, 0.0000), Ta at (0.5000, 0.5000, 0.0000), N at (0.0000, 0.0000, 0.5000) and Cl at (0.0000, 0.5000, 0.5000).